[1]
Material: BeCr2HBr
Method: DFT, PBE
State: relaxed

Cell lengths 3.876, 4.933, 3.876 Å; angles 90.00, 90.00, 90.00 degrees
Site moments in Bohr magnetons follow the coordinates.
Positions (direct):
Be 0.500 0.500 0.500  -0.14
Cr 0.500 0.000 0.000  3.87
Br 0.000 0.500 0.000  0.03
H 0.000 0.000 0.000  -0.05
Cr 0.000 0.000 0.500  3.60

**Total DFT energy (no corrections)**: -4.735 eV per atom

---

[2]
Material: KBe2CrBr8
Method: DFT, PBE
State: relaxed

Cell lengths 6.326, 6.326, 10.837 Å; angles 73.03, 73.03, 60.00 degrees
Site moments in Bohr magnetons follow the coordinates.
Positions (direct):
Br 0.807 0.807 0.578  -0.01
K 0.500 0.500 0.500  0.00
Br 0.271 0.955 0.148  -0.03
Br 0.729 0.045 0.852  -0.03
Br 0.955 0.626 0.148  -0.03
Be 0.738 0.738 0.787  0.01
Cr 0.000 0.000 0.000  2.93
Be 0.262 0.262 0.213  0.01
Br 0.045 0.374 0.852  -0.03
Br 0.374 0.729 0.852  -0.03
Br 0.193 0.193 0.422  -0.01
Br 0.626 0.271 0.148  -0.03

**E_form (uncorrected)**: -983.2 meV/atom
**Total DFT energy (no corrections)**: -3.613 eV per atom

---

[3]
Material: Be2CrPbBr
Method: DFT, PBE
State: relaxed

Cell lengths 4.644, 5.470, 4.644 Å; angles 90.00, 90.00, 90.00 degrees
Site moments in Bohr magnetons follow the coordinates.
Positions (direct):
Be 0.500 0.000 0.000  0.09
Be 0.000 0.000 0.500  0.04
Pb 0.000 0.500 0.000  -0.03
Br 0.500 0.500 0.500  0.11
Cr 0.000 0.000 0.000  3.08

**E_form (uncorrected)**: 965.3 meV/atom
**Total DFT energy (no corrections)**: -3.526 eV per atom